Density functional theory data (GGA-PBEsol) for Rb2TaCdSb after structural relaxation.

Lattice parameters (Å, degrees): 5.4798 6.3958 6.3958 90.00 90.00 90.00
Last column: nearest neighbours and their distance in Å.
Atoms (fractional coordinates):
1 Sb 0.5000 0.5000 0.5000  8 Rb 4.21, 4 Cd 4.52
2 Cd 0.5000 0.0000 0.0000  2 Ta 2.74
3 Rb 0.0000 0.0000 0.5000  2 Ta 3.20
4 Rb 0.0000 0.5000 0.0000  2 Ta 3.20
5 Ta 0.0000 0.0000 0.0000  2 Cd 2.74

Calculated values
The calculation puts the density of states at the Fermi level at 0.8989 states/eV/atom. The calculation puts the uncorrected formation energy at 1445 meV/atom. The mass density comes out at 4.34 g/cm³. The symmetry is P4/mmm (123).

Density functional theory data (GGA-PBEsol) for KCaCr after structural relaxation.

Lattice parameters (Å, degrees): 3.8070 3.8070 8.1444 103.52 103.52 90.00
Last column: nearest neighbours and their distance in Å.
Atoms (fractional coordinates):
1 Ca 0.0372 0.0372 0.0744  4 Cr 3.20
2 Cr 0.6503 0.6503 0.3006  4 Ca 3.20
3 K 0.3125 0.3125 0.6250  4 Cr 3.67, 4 K 3.81

Calculated values
The calculation puts the density of states at the Fermi level at 0.7244 states/eV/atom. The energy relative to the elements is 0.8422 eV per atom. The mass density comes out at 1.96 g/cm³. As for the energy above the most stable polymorph in this dataset: 0.000 eV per atom. The symmetry is I4mm (107).

Density functional theory data (GGA-PBEsol) for CaMnCo2 after structural relaxation.

Lattice parameters (Å, degrees): 2.9074 2.9074 6.6027 90.00 90.00 90.00
Last column: nearest neighbours and their distance in Å.
Atoms (fractional coordinates):
1 Ca 0.5000 0.5000 0.5000  4 Ca 2.91, 8 Co 2.91
2 Mn 0.5000 0.5000 0.0000  8 Co 2.40
3 Co 0.0000 0.0000 0.8130  4 Mn 2.40, 1 Co 2.47
4 Co 0.0000 0.0000 0.1870  4 Mn 2.40, 1 Co 2.47

Calculated values
The calculation puts the density of states at the Fermi level at 0.8813 states/eV/atom. The energy relative to the elements is 0.3314 eV per atom. The mass density comes out at 6.33 g/cm³. As for the energy above the most stable polymorph in this dataset: 0.000 eV per atom. The symmetry is P4/mmm (123).